Computed, not measured: crystalline GaAu2F at its relaxed geometry at the PBE-GGA level of DFT.

Calculated values
Energy above the most stable polymorph in this dataset, meV/atom: 0
Theoretical density, g/cm3: 11.58
Electronic total energy, eV/cell: -26.59
Uncorrected formation energy, meV per atom: -461

Cell lengths 5.732, 5.732, 5.732 Å; angles 102.96, 102.96, 123.46 degrees
Positions (direct):
Ga  0.000  0.000  0.000
Ga  0.750  0.250  0.500
Au  0.121  0.625  0.996
Au  0.375  0.371  0.496
Au  0.629  0.125  0.004
Au  0.875  0.879  0.504
F  0.250  0.750  0.500
F  0.500  0.500  0.000